(w)
Here is crystalline NdSm2Pd at its relaxed geometry from Alexandria. Energies are from PBE.

Structure (CIF):
```
data_NdSm2Pd
_chemical_formula_sum 'Nd3 Sm6 Pd3'
_space_group_name_H-M_alt 'R 3 m'
_space_group_IT_number 160
_space_group_name_Hall 'R 3 -2"'
_cell_length_a 3.9070
_cell_length_b 3.9070
_cell_length_c 28.4283
_cell_angle_alpha 90.00
_cell_angle_beta 90.00
_cell_angle_gamma 120.00
loop_
_atom_site_label
_atom_site_type_symbol
_atom_site_fract_x
_atom_site_fract_y
_atom_site_fract_z
Nd1 Nd 0.0000 0.0000 0.0000
Sm1 Sm 0.0000 0.0000 0.2306
Sm2 Sm 0.0000 0.0000 0.4375
Pd1 Pd 0.0000 0.0000 0.8343
```

(x)
Here is crystalline NdSm2Pd at its relaxed geometry from Alexandria. Energies are from PBE.

Structure (CIF):
```
data_NdSm2Pd
_chemical_formula_sum 'Nd4 Sm8 Pd4'
_space_group_name_H-M_alt 'P n m a'
_space_group_IT_number 62
_cell_length_a 7.2079
_cell_length_b 9.9984
_cell_length_c 6.6045
_cell_angle_alpha 90.00
_cell_angle_beta 90.00
_cell_angle_gamma 90.00
loop_
_space_group_symop_operation_xyz
'x,y,z'
'-x,-y,-z'
'-x+1/2,-y,z+1/2'
'x+1/2,y,-z+1/2'
'x+1/2,-y+1/2,-z+1/2'
'-x+1/2,y+1/2,z+1/2'
'-x,y+1/2,-z'
'x,-y+1/2,z'
loop_
_atom_site_label
_atom_site_type_symbol
_atom_site_fract_x
_atom_site_fract_y
_atom_site_fract_z
Nd1 Nd 0.0231 0.2500 0.1383
Sm1 Sm 0.1799 0.0600 0.6697
Pd1 Pd 0.1141 0.7500 0.4263
```

(y)
Here is crystalline NdSm2Pd at its relaxed geometry from Alexandria. Energies are from PBE.

Structure (CIF):
```
data_NdSm2Pd
_chemical_formula_sum 'Nd4 Sm8 Pd4'
_space_group_name_H-M_alt 'C m c m'
_space_group_IT_number 63
_space_group_name_Hall '-C 2c 2'
_cell_length_a 3.8783
_cell_length_b 12.4170
_cell_length_c 9.7314
_cell_angle_alpha 90.00
_cell_angle_beta 90.00
_cell_angle_gamma 90.00
loop_
_atom_site_label
_atom_site_type_symbol
_atom_site_fract_x
_atom_site_fract_y
_atom_site_fract_z
Nd1 Nd 0.0000 0.0691 0.2500
Sm1 Sm 0.0000 0.3642 0.0607
Pd1 Pd 0.0000 0.2319 0.7500
```

Energy relative to the most stable one, in meV/atom: (w) 145; (x) 0; (y) 17

(w)
Here is crystalline NdSm2Pd2 at its relaxed geometry from Alexandria. Energies are from PBE.

Structure (CIF):
```
data_NdSm2Pd2
_chemical_formula_sum 'Nd2 Sm4 Pd4'
_space_group_name_H-M_alt 'P 4/m b m'
_space_group_IT_number 127
_space_group_name_Hall '-P 4 2ab'
_cell_length_a 8.0512
_cell_length_b 8.0512
_cell_length_c 3.9557
_cell_angle_alpha 90.00
_cell_angle_beta 90.00
_cell_angle_gamma 90.00
loop_
_atom_site_label
_atom_site_type_symbol
_atom_site_fract_x
_atom_site_fract_y
_atom_site_fract_z
Nd1 Nd 0.0000 0.0000 0.0000
Sm1 Sm 0.1665 0.3335 0.5000
Pd1 Pd 0.1269 0.6269 0.0000
```

(x)
Here is crystalline NdSm2Pd2 at its relaxed geometry from Alexandria. Energies are from PBE.

Structure (CIF):
```
data_NdSm2Pd2
_chemical_formula_sum 'Nd2 Sm4 Pd4'
_space_group_name_H-M_alt 'C 1 2/m 1'
_space_group_IT_number 12
_cell_length_a 6.7340
_cell_length_b 6.7395
_cell_length_c 6.7950
_cell_angle_alpha 90.00
_cell_angle_beta 117.82
_cell_angle_gamma 90.00
loop_
_space_group_symop_operation_xyz
'x,y,z'
'-x,-y,-z'
'-x,y,-z'
'x,-y,z'
'x+1/2,y+1/2,z'
'-x+1/2,-y+1/2,-z'
'-x+1/2,y+1/2,-z'
'x+1/2,-y+1/2,z'
loop_
_atom_site_label
_atom_site_type_symbol
_atom_site_fract_x
_atom_site_fract_y
_atom_site_fract_z
Nd1 Nd 0.0000 0.0000 0.0000
Sm1 Sm 0.0000 0.2512 0.5000
Pd1 Pd 0.1192 0.5000 0.2189
```

Energy relative to the most stable one, in meV/atom: (w) 0; (x) 185